(1)
Crystalline La4BCl2O at its relaxed geometry, computed with PBE.

The density of states at the Fermi level is 3.00 states/eV/cell. The formation energy (no corrections) comes out at -1.577 eV per atom. The value obtained for the raw total energy is -47.659 eV per formula unit. The crystal system is monoclinic. The total magnetization is 0.00 μB per formula unit.

The structure belongs to space group P2/m (No. 10); the cell edges are 6.583, 3.914 and 7.662 Å and the angles 90.00°, 107.62° and 90.00°. The distinct sites, in fractional coordinates, are La at (0.226, 0.000, 0.194), La at (0.254, 0.500, 0.802), B at (0.500, 0.000, 0.000), Cl at (0.000, 0.000, 0.500), Cl at (0.500, 0.500, 0.500) and O at (0.000, 0.500, 0.000).

=====

(2)
Crystalline SrDy4PbSe8 at its relaxed geometry, computed with PBE.

The density of states at the Fermi level is 0.00 states/eV/cell. The formation energy (no corrections) comes out at -1.630 eV per atom. The value obtained for the raw total energy is -74.501 eV per formula unit. The crystal system is trigonal. The total magnetization is 0.00 μB per formula unit.

The structure belongs to space group R3m (No. 160, hexagonal axes); the cell edges are 8.5477, 8.5477 and 21.5136 Å and the angles 90.00°, 90.00° and 120.00°. The distinct sites, in fractional coordinates, are Sr at (0.0000, 0.0000, 0.0000), Dy at (0.0000, 0.0000, 0.2505), Dy at (0.1689, 0.3379, 0.4598), Pb at (0.0000, 0.0000, 0.6320), Se at (0.0000, 0.0000, 0.3837), Se at (0.0000, 0.0000, 0.8628), Se at (0.0283, 0.5142, 0.3875) and Se at (0.1713, 0.3425, 0.2021).

=====

(3)
Crystalline K3Pr2SnSe6 at its relaxed geometry, computed with PBE.

The density of states at the Fermi level is 10.53 states/eV/cell. The formation energy (no corrections) comes out at -1.389 eV per atom. The value obtained for the raw total energy is -54.432 eV per formula unit. The crystal system is monoclinic. The total magnetization is 0.00 μB per formula unit.

The structure belongs to space group C2/m (No. 12); the cell edges are 7.516, 13.020 and 8.103 Å and the angles 90.00°, 108.02° and 90.00°. The distinct sites, in fractional coordinates, are K at (0.000, 0.000, 0.000), K at (0.000, 0.333, 0.000), Pr at (0.000, 0.167, 0.500), Sn at (0.000, 0.500, 0.500), Se at (0.232, 0.337, 0.709) and Se at (0.245, 0.000, 0.709).

=====

Number 1: V 23.52 Å³/atom. Number 2: V 32.41 Å³/atom. Number 3: V 31.42 Å³/atom.